First-principles (GGA-PBE) data for a geometry-optimized Mg3AgMo structure, as listed in Alexandria.

mass density = 3.753 g/cm³
N(E_F) = 0.8966 states/eV/atom
total DFT energy (no corrections) = -14.1 eV for the cell shown

a = 4.966 Å, b = 4.966 Å, c = 4.966 Å
α = 90.00°, β = 90.00°, γ = 90.00°
Space group Pm-3m (No. 221)
One atom of each set of equivalent atoms:
Mg (0.000, 0.000, 0.500) x3
Ag (0.000, 0.000, 0.000) x1
Mo (0.500, 0.500, 0.500) x1


First-principles (GGA-PBE) data for a geometry-optimized TbCd2I6 structure, as listed in Alexandria.

E_form (uncorrected) = -0.77 eV/atom
mass density = 4.765 g/cm³
N(E_F) = 0.3815 states/eV/atom

a = 15.252 Å, b = 13.457 Å, c = 7.875 Å
α = 90.00°, β = 99.06°, γ = 90.00°
Space group C2/c (No. 15)
One atom of each set of equivalent atoms:
Tb (0.000, 0.087, 0.250) x4
Cd (0.180, 0.407, 0.326) x8
I (0.115, 0.082, 0.612) x8
I (0.117, 0.236, 0.115) x8
I (0.127, 0.409, 0.657) x8


First-principles (GGA-PBE) data for a geometry-optimized ZrPd9Au2 structure, as listed in Alexandria.

mass density = 12.332 g/cm³
N(E_F) = 0.9782 states/eV/atom
total DFT energy (no corrections) = -65.7 eV for the cell shown

a = 4.018 Å, b = 4.018 Å, c = 12.036 Å
α = 90.00°, β = 90.00°, γ = 90.00°
Space group P4/mmm (No. 123)
One atom of each set of equivalent atoms:
Zr (0.000, 0.000, 0.000) x1
Pd (0.000, 0.500, 0.165) x4
Pd (0.000, 0.500, 0.500) x2
Pd (0.500, 0.500, 0.000) x1
Pd (0.500, 0.500, 0.331) x2
Au (0.000, 0.000, 0.336) x2


First-principles (GGA-PBE) data for a geometry-optimized GdNpFe2 structure, as listed in Alexandria.

mass density = 11.433 g/cm³
N(E_F) = 1.2120 states/eV/atom
total DFT energy (no corrections) = -43.6 eV for the cell shown

a = 3.261 Å, b = 3.261 Å, c = 6.909 Å
α = 90.00°, β = 90.00°, γ = 90.00°
Space group P4/mmm (No. 123)
One atom of each set of equivalent atoms:
Gd (0.000, 0.000, 0.000) x1
Np (0.000, 0.000, 0.500) x1
Fe (0.500, 0.500, 0.303) x2


First-principles (GGA-PBE) data for a geometry-optimized Zn2HgN structure, as listed in Alexandria.

E_form (uncorrected) = 0.26 eV/atom
mass density = 8.463 g/cm³
N(E_F) = 0.5450 states/eV/atom

a = 3.2405 Å, b = 3.2405 Å, c = 22.3566 Å
α = 90.00°, β = 90.00°, γ = 120.00°
Space group R-3m (No. 166, hexagonal axes)
One atom of each set of equivalent atoms:
Zn (0.0000, 0.0000, 0.1210) x6
Hg (0.0000, 0.0000, 0.0000) x3
N (0.0000, 0.0000, 0.5000) x3


First-principles (GGA-PBE) data for a geometry-optimized Ti4CrGe3 structure, as listed in Alexandria.

mass density = 6.292 g/cm³
N(E_F) = 0.5790 states/eV/atom
total DFT energy (no corrections) = -239.1 eV for the cell shown

a = 9.897 Å, b = 9.897 Å, c = 4.973 Å
α = 90.00°, β = 90.00°, γ = 90.00°
Space group I4/mcm (No. 140)
One atom of each set of equivalent atoms:
Ti (0.080, 0.223, 0.000) x16
Cr (0.000, 0.500, 0.250) x4
Ge (0.000, 0.000, 0.250) x4
Ge (0.156, 0.344, 0.500) x8